[1]
## Ca2ScMo (SCAN)

Data for a crystal of Ca2ScMo relaxed with PBEsol.

## Properties
magnetic moment	0.00	μB per formula unit
E_form	285	kJ/mol of formula units
crystal system	tetragonal
E above lowest polymorph	61.4	meV/atom

abc: 4.4165 4.4165 9.7567
angles: 90.00 90.00 90.00
Space group I4/mmm (No. 139)
One atom of each set of equivalent atoms:
1 Ca 0.0000 0.5000 0.2500 [4 per cell]
2 Sc 0.0000 0.0000 0.0000 [2 per cell]
3 Mo 0.0000 0.0000 0.5000 [2 per cell]

---

[2]
## CaYHg (SCAN)

Data for a crystal of CaYHg relaxed with PBEsol.

## Properties
magnetic moment	0.01	μB per formula unit
E_form	-139	kJ/mol of formula units
crystal system	tetragonal
E above lowest polymorph	0.0	meV/atom

abc: 3.6707 3.6707 12.8915
angles: 90.00 90.00 90.00
Space group I4mm (No. 107)
One atom of each set of equivalent atoms:
1 Ca 0.0000 0.0000 0.0000 [2 per cell]
2 Y 0.0000 0.0000 0.2802 [2 per cell]
3 Hg 0.0000 0.0000 0.6511 [2 per cell]

---

[3]
## Ge3As4 (SCAN)

Data for a crystal of Ge3As4 relaxed with PBEsol.

## Properties
magnetic moment	0.00	μB per formula unit
E_form	3	kJ/mol of formula units
crystal system	cubic

abc: 5.4122 5.4122 5.4122
angles: 90.00 90.00 90.00
Space group P-43m (No. 215)
One atom of each set of equivalent atoms:
1 Ge 0.0000 0.0000 0.5000 [3 per cell]
2 As 0.2852 0.2852 0.7148 [4 per cell]

---

[4]
## ScTaNF2 (SCAN)

Data for a crystal of ScTaNF2 relaxed with PBEsol.

## Properties
magnetic moment	2.92	μB per formula unit
total energy	-103.5	eV/cell
crystal system	tetragonal

abc: 3.7778 3.7778 4.7531
angles: 90.00 90.00 90.00
Space group P4/mmm (No. 123)
One atom of each set of equivalent atoms:
1 Sc 0.0000 0.0000 0.0000 [1 per cell]
2 Ta 0.5000 0.5000 0.5000 [1 per cell]
3 N 0.0000 0.0000 0.5000 [1 per cell]
4 F 0.0000 0.5000 0.0000 [2 per cell]